(1)
A plane-wave DFT calculation with GGA-PBE was carried out for crystalline SrTcP2N6 at its relaxed geometry.

## Properties
- crystal system = monoclinic

a b c (Å): 5.4945 7.1085 7.1085
angles (deg): 92.58 77.26 77.26
Each line ends with the local moment (μB).
Element x y z (fractional)
Sr 0.2500 0.8958 0.1042  0.01
Sr 0.7500 0.1042 0.8958  0.01
Tc 0.2500 0.2602 0.7398  0.75
Tc 0.7500 0.7398 0.2602  0.75
P 0.3723 0.7758 0.6297  0.01
P 0.1277 0.3703 0.2242  0.01
P 0.6277 0.2242 0.3703  0.01
P 0.8723 0.6297 0.7758  0.01
N 0.2280 0.9918 0.7407  0.05
N 0.2720 0.2593 0.0082  0.05
N 0.7720 0.0082 0.2593  0.05
N 0.7280 0.7407 0.9918  0.05
N 0.4077 0.7781 0.3945  -0.02
N 0.0923 0.6055 0.2219  -0.02
N 0.5923 0.2219 0.6055  -0.02
N 0.9077 0.3945 0.7781  -0.02
N 0.1844 0.6330 0.7211  0.00
N 0.3156 0.2789 0.3670  0.00
N 0.8156 0.3670 0.2789  0.00
N 0.6844 0.7211 0.6330  0.00



(2)
A plane-wave DFT calculation with GGA-PBE was carried out for crystalline Sr2Tc2P2N at its relaxed geometry.

## Properties
- crystal system = monoclinic

a b c (Å): 3.9284 6.5585 7.1703
angles (deg): 52.00 90.01 72.61
Element x y z (fractional)
Sr 0.5636 0.8720 0.8106
Sr 0.4364 0.1280 0.1894
Tc 0.8132 0.3735 0.6948
Tc 0.1868 0.6265 0.3052
P 0.8116 0.3763 0.3618
P 0.1884 0.6237 0.6382
N 0.0000 0.0000 0.0000



Number 1: electronic total energy -150.5 eV/cell. Number 2: electronic total energy -49.2 eV/cell.